LaSbSe2: optimized geometry, PBE.

Cell and atoms, written as extended XYZ:
```
4
Lattice="4.2870 -2.2311 0.0000 4.2870 2.2311 0.0000 -1.2436 0.0000 6.2181" Properties=species:S:1:pos:R:3 pbc="T T T"
La 0.0000 0.0000 0.0000
Sb 3.6652 0.0000 3.1091
Se 1.4772 0.0000 4.7719
Se 5.8533 0.0000 1.4462
```

Results
ρ = 5.8 g/cm³
total DFT energy (no corrections) = -4.972 eV/atom
ΔE_f (raw) = -968 meV/atom
size of the total moment = 0.00 μB per formula unit
relative energy among the computed polymorphs = 0.160 eV/atom

---

Li2La3Cd5: optimized geometry, PBE.

Cell and atoms, written as extended XYZ:
```
20
Lattice="10.9925 0.0000 0.0000 0.0000 10.9925 0.0000 0.0000 0.0000 4.2541" Properties=species:S:1:pos:R:3 pbc="T T T"
Li 1.2333 4.2629 0.0000
Li 4.2629 9.7592 0.0000
Li 6.7296 1.2333 0.0000
Li 9.7592 6.7296 0.0000
La 0.0000 0.0000 0.0000
La 1.9829 7.4791 0.0000
La 3.5134 1.9829 0.0000
La 5.4963 5.4963 0.0000
La 7.4791 9.0096 0.0000
La 9.0096 3.5134 0.0000
Cd 0.0000 5.4963 2.1270
Cd 0.6658 2.4558 2.1270
Cd 2.4558 10.3267 2.1270
Cd 3.0405 4.8304 2.1270
Cd 4.8304 7.9520 2.1270
Cd 5.4963 0.0000 2.1270
Cd 6.1621 3.0405 2.1270
Cd 7.9520 6.1621 2.1270
Cd 8.5367 0.6658 2.1270
Cd 10.3267 8.5367 2.1270
```

Results
ρ = 6.4 g/cm³
total DFT energy (no corrections) = -2.611 eV/atom
formation energy from the elements = -293 meV per atom
size of the total moment = 0.00 μB per formula unit

---

What did the second record say?
Li2La3Cd5: optimized geometry, PBE.

Cell and atoms, written as extended XYZ:
```
20
Lattice="10.9925 0.0000 0.0000 0.0000 10.9925 0.0000 0.0000 0.0000 4.2541" Properties=species:S:1:pos:R:3 pbc="T T T"
Li 1.2333 4.2629 0.0000
Li 4.2629 9.7592 0.0000
Li 6.7296 1.2333 0.0000
Li 9.7592 6.7296 0.0000
La 0.0000 0.0000 0.0000
La 1.9829 7.4791 0.0000
La 3.5134 1.9829 0.0000
La 5.4963 5.4963 0.0000
La 7.4791 9.0096 0.0000
La 9.0096 3.5134 0.0000
Cd 0.0000 5.4963 2.1270
Cd 0.6658 2.4558 2.1270
Cd 2.4558 10.3267 2.1270
Cd 3.0405 4.8304 2.1270
Cd 4.8304 7.9520 2.1270
Cd 5.4963 0.0000 2.1270
Cd 6.1621 3.0405 2.1270
Cd 7.9520 6.1621 2.1270
Cd 8.5367 0.6658 2.1270
Cd 10.3267 8.5367 2.1270
```

Results
ρ = 6.4 g/cm³
total DFT energy (no corrections) = -2.611 eV/atom
formation energy from the elements = -293 meV per atom
size of the total moment = 0.00 μB per formula unit

---

Repeat the second record exactly.
Li2La3Cd5: optimized geometry, PBE.

Cell and atoms, written as extended XYZ:
```
20
Lattice="10.9925 0.0000 0.0000 0.0000 10.9925 0.0000 0.0000 0.0000 4.2541" Properties=species:S:1:pos:R:3 pbc="T T T"
Li 1.2333 4.2629 0.0000
Li 4.2629 9.7592 0.0000
Li 6.7296 1.2333 0.0000
Li 9.7592 6.7296 0.0000
La 0.0000 0.0000 0.0000
La 1.9829 7.4791 0.0000
La 3.5134 1.9829 0.0000
La 5.4963 5.4963 0.0000
La 7.4791 9.0096 0.0000
La 9.0096 3.5134 0.0000
Cd 0.0000 5.4963 2.1270
Cd 0.6658 2.4558 2.1270
Cd 2.4558 10.3267 2.1270
Cd 3.0405 4.8304 2.1270
Cd 4.8304 7.9520 2.1270
Cd 5.4963 0.0000 2.1270
Cd 6.1621 3.0405 2.1270
Cd 7.9520 6.1621 2.1270
Cd 8.5367 0.6658 2.1270
Cd 10.3267 8.5367 2.1270
```

Results
ρ = 6.4 g/cm³
total DFT energy (no corrections) = -2.611 eV/atom
formation energy from the elements = -293 meV per atom
size of the total moment = 0.00 μB per formula unit